PBE-GGA OsRh2Au, optimized geometry; total magnetization = 0.0 μB/f.u.; symmetry = No. 8; N(E_F) = 8.49 states/eV/cell; E_form = 0.26 eV/atom; relative energy among the computed polymorphs = 0.791 eV/f.u.
1.0
9.163 0.000 0.000
0.000 2.772 0.000
-0.833 0.000 4.748
Os Rh Au
2 4 2
Cartesian
0.000 0.000 0.000
4.581 1.386 0.000
-0.348 1.386 2.518
1.720 0.000 3.765
4.234 0.000 2.518
6.301 1.386 3.765
2.102 1.386 1.337
6.683 0.000 1.337


PBE-GGA Nd3TmSc2S6, optimized geometry; total magnetization = 0.0 μB/f.u.; symmetry = No. 12; N(E_F) = 4.92 states/eV/cell; energy relative to the elements, uncorrected = -1949 meV/atom
1.0
3.337 -5.800 0.000
3.337 5.800 0.000
-2.237 0.000 6.542
Nd Tm Sc S
3 1 2 6
Cartesian
0.000 0.000 0.000
3.337 1.912 0.000
3.337 -1.912 0.000
2.219 0.000 3.271
2.219 3.865 3.271
2.219 -3.865 3.271
1.090 1.968 1.815
-0.052 0.000 4.713
1.090 -1.968 1.815
3.348 1.968 4.727
4.489 0.000 1.829
3.348 -1.968 4.727


PBE-GGA Tb12Ni5Hg, optimized geometry; total magnetization = 0.0 μB/f.u.; symmetry = No. 71; N(E_F) = 17.63 states/eV/cell; E_form = -0.32 eV/atom
1.0
-4.688 4.796 4.937
4.688 -4.796 4.937
4.688 4.796 -4.937
Tb Ni Hg
12 5 1
Cartesian
4.688 2.981 -2.801
2.744 1.733 0.000
6.632 1.733 0.000
1.831 4.796 -1.739
2.857 0.000 3.198
0.000 1.815 2.136
4.688 2.981 2.801
1.831 4.796 1.739
2.857 0.000 6.675
-1.944 3.063 4.937
1.944 3.063 4.937
0.000 1.815 7.737
0.000 0.000 0.000
4.688 0.000 1.225
0.000 3.475 0.000
0.000 6.116 0.000
0.000 4.796 3.711
0.000 0.000 4.937


PBE-GGA MnBi, optimized geometry; total magnetization = 3.5 μB/f.u.; symmetry = No. 64; N(E_F) = 14.44 states/eV/cell; E_form = 0.36 eV/atom
1.0
7.325 0.000 0.000
0.000 7.054 0.000
0.000 0.000 7.116
Mn Bi
8 8
Cartesian
1.309 0.000 0.000
1.309 3.527 3.558
2.354 0.000 3.558
2.354 3.527 0.000
4.971 0.000 3.558
4.971 3.527 0.000
6.016 0.000 0.000
6.016 3.527 3.558
0.000 1.201 2.386
0.000 2.326 5.944
0.000 4.728 1.172
0.000 5.854 4.730
3.662 1.201 1.172
3.662 2.326 4.730
3.662 4.728 2.386
3.662 5.854 5.944


PBE-GGA Ba2Mg4TlIn3, optimized geometry; total magnetization = 0.0 μB/f.u.; symmetry = No. 115; N(E_F) = 6.52 states/eV/cell; E_form = -0.27 eV/atom
1.0
4.949 0.000 0.000
0.000 4.949 0.000
0.000 0.000 12.445
Ba Mg Tl In
2 4 1 3
Cartesian
0.000 2.475 3.086
2.475 0.000 9.359
0.000 0.000 0.000
0.000 2.475 7.909
2.475 0.000 4.536
2.475 2.475 0.000
0.000 0.000 6.222
0.000 2.475 10.801
2.475 0.000 1.644
2.475 2.475 6.222